# 1
Compound: Li2LaN
Source: Alexandria via LeMat-Bulk
Functional: PBE
Structure: optimized geometry

Lattice parameters (Å, degrees): 3.632 3.632 12.171 81.42 81.42 90.00
Element x y z (fractional)
Li 0.875 0.405 0.750
Li 0.375 0.845 0.750
N 0.250 0.750 0.500
N 0.500 0.500 0.000
Li 0.155 0.125 0.250
Li 0.595 0.625 0.250
La 0.750 0.250 0.500
La 0.000 0.000 0.000

Calculated values
- Formation energy from raw total energies: -0.1944 eV/atom
- Density of states at the Fermi level: 0.41 states/eV per cell
- Final energy: -4.4645 eV per atom


# 2
Compound: ThZr4Sc2
Source: Alexandria via LeMat-Bulk
Functional: PBE
Structure: optimized geometry

Lattice parameters (Å, degrees): 3.265 5.213 10.581 104.26 90.00 90.00
Element x y z (fractional)
Sc 0.500 0.925 0.849
Zr 0.500 0.658 0.315
Zr 0.000 0.207 0.414
Th 0.000 0.500 0.000
Zr 0.000 0.793 0.586
Sc 0.500 0.075 0.151
Zr 0.500 0.342 0.685

Calculated values
- Formation energy: 0.2 eV/f.u.
- Density of states at the Fermi level: 7.93 states/eV per cell
- Offset from the most stable computed form: 0.003 eV/atom
- Final energy: -7.7276 eV per atom


# 3
Compound: Ba5Cd2Au
Source: Alexandria via LeMat-Bulk
Functional: PBE
Structure: optimized geometry

Lattice parameters (Å, degrees): 4.965 10.039 14.733 90.00 90.00 90.00
Element x y z (fractional)
Ba 0.000 0.840 0.195
Ba 0.000 0.160 0.805
Au 0.000 0.500 0.500
Au 0.000 0.000 0.000
Ba 0.500 0.324 0.584
Cd 0.500 0.051 0.326
Ba 0.500 0.176 0.084
Ba 0.500 0.824 0.916
Ba 0.000 0.340 0.305
Ba 0.000 0.660 0.695
Ba 0.500 0.676 0.416
Cd 0.500 0.949 0.674
Ba 0.000 0.500 0.000
Cd 0.500 0.551 0.174
Ba 0.000 0.000 0.500
Cd 0.500 0.449 0.826

Calculated values
- Formation energy: -2.6 eV/f.u.
- Density of states at the Fermi level: 15.60 states/eV per cell
- Final energy: -2.1645 eV per atom


# 4
Compound: KDy2Pu3Te6
Source: Alexandria via LeMat-Bulk
Functional: PBE
Structure: optimized geometry

Lattice parameters (Å, degrees): 4.430 9.050 9.984 102.26 102.82 90.00
Element x y z (fractional)
Dy 0.832 0.661 0.664
Pu 0.163 0.835 0.327
Te 0.327 0.905 0.655
Te 0.995 0.735 0.990
Pu 0.500 0.500 0.000
K 0.500 0.000 0.000
Te 0.005 0.265 0.010
Te 0.668 0.583 0.336
Te 0.673 0.095 0.345
Dy 0.168 0.339 0.336
Pu 0.837 0.165 0.673
Te 0.332 0.417 0.664

Calculated values
- Formation energy from raw total energies: -1.1519 eV/atom
- Density of states at the Fermi level: 43.37 states/eV per cell
- Final energy: -7.1642 eV per atom


# 5
Compound: KZnTe2Se4
Source: Alexandria via LeMat-Bulk
Functional: PBE
Structure: optimized geometry

Lattice parameters (Å, degrees): 7.392 6.800 6.800 79.58 57.08 57.08
Element x y z (fractional)
Se 0.409 0.144 0.447
Se 0.000 0.856 0.553
Te 0.500 0.250 0.750
Se 0.591 0.553 0.856
Se 0.000 0.447 0.144
Te 0.500 0.750 0.250
K 0.000 0.000 0.000
Zn 0.000 0.500 0.500

Calculated values
- Formation energy from raw total energies: -0.4031 eV/atom
- Density of states at the Fermi level: 2.34 states/eV per cell
- Final energy: -3.2272 eV per atom


# 6
Compound: Cs4Pu3UO12
Source: Alexandria via LeMat-Bulk
Functional: PBE
Structure: optimized geometry

Lattice parameters (Å, degrees): 7.613 7.613 7.613 109.47 109.47 109.47
Element x y z (fractional)
O 0.250 0.750 0.500
Pu 0.500 0.500 0.000
Cs 0.500 0.000 0.000
O 0.759 0.000 0.759
O 0.759 0.759 0.000
O 0.000 0.759 0.759
Pu 0.500 0.000 0.500
O 0.500 0.750 0.250
O 0.250 0.500 0.750
Cs 0.000 0.500 0.000
O 0.750 0.250 0.500
Pu 0.000 0.500 0.500
O 0.241 0.000 0.241
O 0.000 0.241 0.241
U 0.000 0.000 0.000
O 0.750 0.500 0.250
Cs 0.000 0.000 0.500
O 0.241 0.241 0.000
O 0.500 0.250 0.750
Cs 0.500 0.500 0.500

Calculated values
- Formation energy from raw total energies: -2.5657 eV/atom
- Density of states at the Fermi level: 17.27 states/eV per cell
- Final energy: -8.4256 eV per atom